Below is a relaxed structure of MnSbSe2Br, with properties calculated at the PBE-GGA level.

Output
E_tot, eV per atom: -4.837
Energy relative to the lowest polymorph listed for this composition, meV per atom: 0.0
Formation energy (no corrections), eV per atom: -0.45

a b c (Å): 10.0448 3.9940 13.1287
angles (deg): 90.00 90.00 90.00
With the nearest neighbours (Å) after each atom.
Atoms (fractional coordinates):
Mn  0.0008  0.2500  0.2396  2 Br 2.65, 4 Se 2.67-2.81
Mn  0.4992  0.7500  0.7396  2 Br 2.65, 4 Se 2.67-2.81
Mn  0.5008  0.2500  0.2604  2 Br 2.65, 4 Se 2.67-2.81
Mn  0.9992  0.7500  0.7604  2 Br 2.65, 4 Se 2.67-2.81
Sb  0.1851  0.7500  0.4607  3 Se 2.64-2.76
Sb  0.3149  0.2500  0.9607  3 Se 2.64-2.76
Sb  0.6851  0.7500  0.0393  3 Se 2.64-2.76
Sb  0.8149  0.2500  0.5393  3 Se 2.64-2.76
Se  0.0579  0.2500  0.6165  1 Sb 2.64, 2 Mn 2.81
Se  0.2434  0.2500  0.3223  2 Mn 2.67-2.71, 2 Sb 2.76
Se  0.2566  0.7500  0.8223  2 Mn 2.67-2.71, 2 Sb 2.76
Se  0.4421  0.7500  0.1165  1 Sb 2.64, 2 Mn 2.81
Se  0.5579  0.2500  0.8835  1 Sb 2.64, 2 Mn 2.81
Se  0.7434  0.2500  0.1777  2 Mn 2.67-2.71, 2 Sb 2.76
Se  0.7566  0.7500  0.6777  2 Mn 2.67-2.71, 2 Sb 2.76
Se  0.9421  0.7500  0.3835  1 Sb 2.64, 2 Mn 2.81
Br  0.0623  0.7500  0.1159  2 Mn 2.65
Br  0.4377  0.2500  0.6159  2 Mn 2.65
Br  0.5623  0.7500  0.3841  2 Mn 2.65
Br  0.9377  0.2500  0.8841  2 Mn 2.65

Below is a relaxed structure of Cr2C, with properties calculated at the PBE-GGA level.

Output
ΔH_f (0 K), meV per atom: 1548.4
E_tot, eV per atom: -7.942

a b c (Å): 4.6735 4.6735 9.4735
angles (deg): 90.00 90.00 120.00
With the nearest neighbours (Å) after each atom.
Atoms (fractional coordinates):
Cr  0.0000  0.0000  0.0000  6 Cr 2.71, 6 C 2.89
Cr  0.0000  0.0000  0.5000  6 Cr 2.71, 6 C 2.89
Cr  0.1634  0.3269  0.2500  2 C 1.92
Cr  0.1634  0.8366  0.2500  2 C 1.92
Cr  0.3269  0.1634  0.7500  2 C 1.92
Cr  0.6731  0.8366  0.2500  2 C 1.92
Cr  0.8366  0.1634  0.7500  2 C 1.92
Cr  0.8366  0.6731  0.7500  2 C 1.92
C  0.3333  0.6667  0.1082  3 Cr 1.92
C  0.3333  0.6667  0.3918  3 Cr 1.92
C  0.6667  0.3333  0.6082  3 Cr 1.92
C  0.6667  0.3333  0.8918  3 Cr 1.92

Below is a relaxed structure of MoSe4, with properties calculated at the PBE-GGA level.

Output
E_tot, eV per atom: -4.589
Energy relative to the lowest polymorph listed for this composition, meV per atom: 0.0
Formation energy (no corrections), eV per atom: 0.36

a b c (Å): 4.9054 4.9054 4.9054
angles (deg): 90.00 90.00 90.00
With the nearest neighbours (Å) after each atom.
Atoms (fractional coordinates):
Mo  0.0000  0.0000  0.0000  6 Se 2.45
Se  0.0000  0.0000  0.5000  2 Mo 2.45
Se  0.0000  0.5000  0.0000  2 Mo 2.45
Se  0.5000  0.0000  0.0000  2 Mo 2.45
Se  0.5000  0.5000  0.5000  12 Se 3.47

Below is a relaxed structure of Ca2TaRe, with properties calculated at the PBE-GGA level.

Output
ΔH_f (0 K), meV per atom: 757.3
E_tot, eV per atom: -6.319
Energy relative to the lowest polymorph listed for this composition, meV per atom: 518.0

a b c (Å): 5.9451 5.9451 2.8407
angles (deg): 93.59 93.59 122.87
With the nearest neighbours (Å) after each atom.
Atoms (fractional coordinates):
Ca  0.0000  0.5000  0.0000  4 Ca 2.84
Ca  0.5000  0.0000  0.0000  4 Ca 2.84
Ta  0.0000  0.0000  0.5000  2 Ta 2.84, 2 Re 2.84
Re  0.5000  0.5000  0.5000  2 Re 2.84, 2 Ta 2.84

Below is a relaxed structure of Cs2Hg5H4, with properties calculated at the PBE-GGA level.

Output
E_tot, eV per atom: -1.498

a b c (Å): 5.9148 7.1472 7.5146
angles (deg): 94.24 106.47 94.49
With the nearest neighbours (Å) after each atom.
Atoms (fractional coordinates):
Cs  0.1500  0.2357  0.3633  5 H 3.18-3.40
Cs  0.8500  0.7643  0.6367  5 H 3.18-3.40
Hg  0.2461  0.7089  0.1822  1 H 1.90
Hg  0.2706  0.3746  0.8956  5 Hg 2.95-3.17
Hg  0.5000  0.0000  0.0000  2 H 1.69
Hg  0.7294  0.6254  0.1044  5 Hg 2.95-3.17
Hg  0.7539  0.2911  0.8178  1 H 1.90
H  0.2934  0.6969  0.4413  1 Hg 1.90
H  0.4214  0.8946  0.7795  1 Hg 1.69
H  0.5786  0.1054  0.2205  1 Hg 1.69
H  0.7066  0.3031  0.5587  1 Hg 1.90

Below is a relaxed structure of TaTiCo3, with properties calculated at the PBE-GGA level.

Output
ΔH_f (0 K), meV per atom: 260.3
E_tot, eV per atom: -7.953
Energy relative to the lowest polymorph listed for this composition, meV per atom: 351.9

a b c (Å): 5.3651 5.3651 5.2637
angles (deg): 90.00 90.00 113.71
With the nearest neighbours (Å) after each atom.
Atoms (fractional coordinates):
Ta  0.1893  0.8107  0.7500  6 Co 2.58-2.82
Ta  0.8107  0.1893  0.2500  6 Co 2.58-2.82
Ti  0.5000  0.5000  0.0000  6 Co 2.31
Ti  0.5000  0.5000  0.5000  6 Co 2.31
Co  0.1248  0.2625  0.7500  2 Co 2.27-2.28, 2 Ti 2.31
Co  0.2625  0.1248  0.2500  2 Co 2.27-2.28, 2 Ti 2.31
Co  0.2888  0.7112  0.2500  2 Co 2.28, 2 Ti 2.31
Co  0.7112  0.2888  0.7500  2 Co 2.28, 2 Ti 2.31
Co  0.7375  0.8752  0.7500  2 Co 2.27-2.28, 2 Ti 2.31
Co  0.8752  0.7375  0.2500  2 Co 2.27-2.28, 2 Ti 2.31

Below is a relaxed structure of SiNi2Te, with properties calculated at the PBE-GGA level.

Output
E_tot, eV per atom: -5.146
Energy relative to the lowest polymorph listed for this composition, meV per atom: 102.0
Formation energy (no corrections), eV per atom: -0.11

a b c (Å): 2.9448 2.9735 7.0520
angles (deg): 90.00 90.00 90.00
With the nearest neighbours (Å) after each atom.
Atoms (fractional coordinates):
Si  0.0000  0.0000  0.0000  8 Ni 2.43
Ni  0.5000  0.5000  0.1748  4 Si 2.43, 1 Ni 2.47
Ni  0.5000  0.5000  0.8252  4 Si 2.43, 1 Ni 2.47
Te  0.5000  0.0000  0.5000  4 Ni 2.73, 4 Te 2.94-2.97

Below is a relaxed structure of VTc3Ag, with properties calculated at the PBE-GGA level.

Output
ΔH_f (0 K), meV per atom: 1265.4
E_tot, eV per atom: -7.348
Energy relative to the lowest polymorph listed for this composition, meV per atom: 0.0

a b c (Å): 4.4714 4.4714 4.4714
angles (deg): 90.00 90.00 90.00
With the nearest neighbours (Å) after each atom.
Atoms (fractional coordinates):
V  0.0000  0.0000  0.0000  6 Tc 2.24
Tc  0.0000  0.0000  0.5000  2 V 2.24
Tc  0.0000  0.5000  0.0000  2 V 2.24
Tc  0.5000  0.0000  0.0000  2 V 2.24
Ag  0.5000  0.5000  0.5000  12 Tc 3.16

Below is a relaxed structure of Mg14ZrFe, with properties calculated at the PBE-GGA level.

Output
ΔH_f (0 K), meV per atom: 87.1
E_tot, eV per atom: -2.371
Energy relative to the lowest polymorph listed for this composition, meV per atom: 10.8

a b c (Å): 6.3384 6.3384 9.9579
angles (deg): 90.00 90.00 120.00
With the nearest neighbours (Å) after each atom.
Atoms (fractional coordinates):
Mg  0.0000  0.0000  0.2395  12 Mg 3.04-3.18
Mg  0.0000  0.0000  0.7605  12 Mg 3.04-3.18
Mg  0.0131  0.5066  0.2586  1 Fe 2.98, 10 Mg 3.04-3.29, 1 Zr 3.12
Mg  0.0131  0.5066  0.7414  1 Fe 2.98, 10 Mg 3.04-3.29, 1 Zr 3.12
Mg  0.3283  0.1641  0.5000  10 Mg 3.05-3.22, 2 Fe 3.17
Mg  0.3438  0.1719  0.0000  10 Mg 3.04-3.27, 2 Zr 3.17
Mg  0.4934  0.5066  0.2586  1 Fe 2.98, 10 Mg 3.04-3.29, 1 Zr 3.12
Mg  0.4934  0.5066  0.7414  1 Fe 2.98, 10 Mg 3.04-3.29, 1 Zr 3.12
Mg  0.4934  0.9869  0.2586  1 Fe 2.98, 10 Mg 3.04-3.29, 1 Zr 3.12
Mg  0.4934  0.9869  0.7414  1 Fe 2.98, 10 Mg 3.04-3.29, 1 Zr 3.12
Mg  0.8281  0.1719  0.0000  10 Mg 3.04-3.27, 2 Zr 3.17
Mg  0.8281  0.6562  0.0000  10 Mg 3.04-3.27, 2 Zr 3.17
Mg  0.8359  0.1641  0.5000  10 Mg 3.05-3.22, 2 Fe 3.17
Mg  0.8359  0.6717  0.5000  10 Mg 3.05-3.22, 2 Fe 3.17
Zr  0.3333  0.6667  0.0000  12 Mg 3.12-3.17
Fe  0.3333  0.6667  0.5000  12 Mg 2.98-3.17

Below is a relaxed structure of AlInAg3, with properties calculated at the PBE-GGA level.

Output
ΔH_f (0 K), meV per atom: 16.4
E_tot, eV per atom: -2.991
Energy relative to the lowest polymorph listed for this composition, meV per atom: 0.0

a b c (Å): 7.3387 5.9316 9.7757
angles (deg): 90.00 118.95 90.00
With the nearest neighbours (Å) after each atom.
Atoms (fractional coordinates):
Al  0.1173  0.1237  0.1448  9 Ag 2.79-3.09, 1 Al 2.90, 2 In 3.01-3.05
Al  0.1173  0.3763  0.6448  9 Ag 2.79-3.09, 1 Al 2.90, 2 In 3.01-3.05
Al  0.8827  0.6237  0.3552  9 Ag 2.79-3.09, 1 Al 2.90, 2 In 3.01-3.05
Al  0.8827  0.8763  0.8552  9 Ag 2.79-3.09, 1 Al 2.90, 2 In 3.01-3.05
In  0.2936  0.6368  0.9470  9 Ag 2.91-3.07, 2 Al 3.01-3.05, 1 In 3.14
In  0.2936  0.8632  0.4470  9 Ag 2.91-3.07, 2 Al 3.01-3.05, 1 In 3.14
In  0.7064  0.1368  0.5530  9 Ag 2.91-3.07, 2 Al 3.01-3.05, 1 In 3.14
In  0.7064  0.3632  0.0530  9 Ag 2.91-3.07, 2 Al 3.01-3.05, 1 In 3.14
Ag  0.0959  0.6276  0.1487  5 Ag 2.88-3.05, 3 In 2.91-2.99, 4 Al 2.92-3.09
Ag  0.0959  0.8724  0.6487  5 Ag 2.88-3.05, 3 In 2.91-2.99, 4 Al 2.92-3.09
Ag  0.2852  0.1278  0.9427  3 Al 2.79-3.04, 5 Ag 2.88-3.04, 3 In 2.91-3.07
Ag  0.2852  0.3722  0.4427  3 Al 2.79-3.04, 5 Ag 2.88-3.04, 3 In 2.91-3.07
Ag  0.4938  0.1258  0.7485  2 Al 2.86-2.92, 7 Ag 2.96-3.05, 3 In 2.96-3.01
Ag  0.4938  0.3742  0.2485  2 Al 2.86-2.92, 7 Ag 2.96-3.05, 3 In 2.96-3.01
Ag  0.5062  0.6258  0.7515  2 Al 2.86-2.92, 7 Ag 2.96-3.05, 3 In 2.96-3.01
Ag  0.5062  0.8742  0.2515  2 Al 2.86-2.92, 7 Ag 2.96-3.05, 3 In 2.96-3.01
Ag  0.7148  0.6278  0.5573  3 Al 2.79-3.04, 5 Ag 2.88-3.04, 3 In 2.91-3.07
Ag  0.7148  0.8722  0.0573  3 Al 2.79-3.04, 5 Ag 2.88-3.04, 3 In 2.91-3.07
Ag  0.9041  0.1277  0.3513  5 Ag 2.88-3.05, 3 In 2.91-2.99, 4 Al 2.92-3.09
Ag  0.9041  0.3724  0.8513  5 Ag 2.88-3.05, 3 In 2.91-2.99, 4 Al 2.92-3.09

- Which of these has the highest E_tot?
  Cs2Hg5H4

What did the third record say?
Below is a relaxed structure of MoSe4, with properties calculated at the PBE-GGA level.

Output
E_tot, eV per atom: -4.589
Energy relative to the lowest polymorph listed for this composition, meV per atom: 0.0
Formation energy (no corrections), eV per atom: 0.36

a b c (Å): 4.9054 4.9054 4.9054
angles (deg): 90.00 90.00 90.00
With the nearest neighbours (Å) after each atom.
Atoms (fractional coordinates):
Mo  0.0000  0.0000  0.0000  6 Se 2.45
Se  0.0000  0.0000  0.5000  2 Mo 2.45
Se  0.0000  0.5000  0.0000  2 Mo 2.45
Se  0.5000  0.0000  0.0000  2 Mo 2.45
Se  0.5000  0.5000  0.5000  12 Se 3.47